No. 1
# KReO3F PBE-GGA relaxed
data_KReO3F
_chemical_formula_sum 'K4 Re4 O12 F4'
_cell_length_a 5.157
_cell_length_b 19.574
_cell_length_c 5.367
_cell_angle_alpha 90.00
_cell_angle_beta 90.68
_cell_angle_gamma 90.00
_symmetry_space_group_name_H-M 'C 1 2/c 1'
_symmetry_Int_Tables_number 15
_symmetry_space_group_name_Hall '-C 2yc'
loop_
_atom_site_label
_atom_site_fract_x
_atom_site_fract_y
_atom_site_fract_z
K1 0.000 0.244 0.250
Re1 0.000 0.465 0.750
O1 0.000 0.378 0.750
O2 0.234 0.500 0.003
F1 0.000 0.222 0.750
# * crystal system: monoclinic
# * E_form (uncorrected): -1.75 eV/atom
# * E: -6.802 eV per atom



No. 2
# Zr3TiTl2 PBE-GGA relaxed
data_Zr3TiTl2
_chemical_formula_sum 'Zr6 Ti2 Tl4'
_cell_length_a 5.278
_cell_length_b 6.547
_cell_length_c 7.680
_cell_angle_alpha 90.00
_cell_angle_beta 94.51
_cell_angle_gamma 90.00
_symmetry_space_group_name_H-M 'P 1 2/m 1'
_symmetry_Int_Tables_number 10
_symmetry_space_group_name_Hall '-P 2y'
loop_
_atom_site_label
_atom_site_fract_x
_atom_site_fract_y
_atom_site_fract_z
Zr1 0.000 0.242 0.000
Zr2 0.314 0.244 0.663
Ti1 0.171 0.000 0.354
Tl1 0.179 0.500 0.329
Tl2 0.500 0.000 0.000
Tl3 0.500 0.500 0.000
# * crystal system: monoclinic
# * calculated formation energy: -45 meV per atom
# * E: -6.423 eV per atom



No. 3
# NbCd3Pb PBE-GGA relaxed
data_NbCd3Pb
_chemical_formula_sum 'Nb1 Cd3 Pb1'
_cell_length_a 5.423
_cell_length_b 5.423
_cell_length_c 5.423
_cell_angle_alpha 90.00
_cell_angle_beta 90.00
_cell_angle_gamma 90.00
_symmetry_space_group_name_H-M 'P m -3 m'
_symmetry_Int_Tables_number 221
_symmetry_space_group_name_Hall '-P 4 2 3'
loop_
_atom_site_label
_atom_site_fract_x
_atom_site_fract_y
_atom_site_fract_z
Nb1 0.000 0.000 0.000
Cd1 0.000 0.500 0.500
Pb1 0.500 0.500 0.500
# * crystal system: cubic
# * calculated formation energy: 1465 meV per atom
# * E: -1.840 eV per atom